Entry 1:
This record from the Alexandria database describes a relaxed Cs2LiMnS4 crystal. The functional is PBE.

a = 14.2041 Å, b = 12.7251 Å, c = 7.5308 Å
α = 84.95°, β = 63.18°, γ = 31.88°
Closest atoms and distances in Å follow each position.
Fractional positions:
Cs  0.0519  0.0519  0.6981  8 S 3.56-3.90
Cs  0.3019  0.3019  0.9481  8 S 3.56-3.90
Cs  0.6981  0.6981  0.0519  8 S 3.56-3.90
Cs  0.9481  0.9481  0.3019  8 S 3.56-3.90
Li  0.1250  0.1250  0.1250  4 S 2.40
Li  0.8750  0.8750  0.8750  4 S 2.40
Mn  0.3750  0.3750  0.3750  4 S 2.12
Mn  0.6250  0.6250  0.6250  4 S 2.12
S  0.0255  0.6269  0.5481  1 Mn 2.12
S  0.2996  0.5481  0.6269  1 Mn 2.12
S  0.3731  0.9745  0.7004  1 Mn 2.12
S  0.4519  0.7004  0.9745  1 Mn 2.12
S  0.5481  0.2996  0.0255  1 Mn 2.12
S  0.6269  0.0255  0.2996  1 Mn 2.12
S  0.7004  0.4519  0.3731  1 Mn 2.12
S  0.9745  0.3731  0.4519  1 Mn 2.12

Properties
As for the uncorrected energy: -4.617 eV/atom. For the raw formation energy, the calculation gives -0.954 eV per atom. Its space group is Fddd, No. 70.

=====

Entry 2:
This record from the Alexandria database describes a relaxed CsLiMnS2 crystal. The functional is PBE.

a = 3.9636 Å, b = 3.9636 Å, c = 13.7869 Å
α = 90.00°, β = 90.00°, γ = 90.00°
Closest atoms and distances in Å follow each position.
Fractional positions:
Cs  0.0000  0.0000  0.0000  8 S 3.64, 4 Cs 3.96, 4 Mn 3.98, 4 Li 3.98
Cs  0.5000  0.5000  0.5000  8 S 3.64, 4 Cs 3.96, 4 Mn 3.98, 4 Li 3.98
Li  0.0000  0.5000  0.2500  4 S 2.28
Li  0.5000  0.0000  0.7500  4 S 2.28
Mn  0.0000  0.5000  0.7500  4 S 2.28
Mn  0.5000  0.0000  0.2500  4 S 2.28
S  0.0000  0.0000  0.3312  2 Mn 2.28, 2 Li 2.28
S  0.0000  0.0000  0.6688  2 Mn 2.28, 2 Li 2.28
S  0.5000  0.5000  0.1688  2 Mn 2.28, 2 Li 2.28
S  0.5000  0.5000  0.8312  2 Mn 2.28, 2 Li 2.28

Properties
As for the uncorrected energy: -4.792 eV/atom. For the raw formation energy, the calculation gives -0.754 eV per atom. Its space group is I-4m2, No. 119.

=====

Entry 3:
This record from the Alexandria database describes a relaxed CsLiScMn2 crystal. The functional is PBE.

a = 5.2052 Å, b = 5.2052 Å, c = 5.8890 Å
α = 90.00°, β = 90.00°, γ = 90.00°
Closest atoms and distances in Å follow each position.
Fractional positions:
Cs  0.0000  0.0000  0.0000  4 Li 3.68, 8 Mn 3.93
Li  0.5000  0.5000  0.0000  2 Sc 2.94
Sc  0.5000  0.5000  0.5000  4 Mn 2.60
Mn  0.0000  0.5000  0.5000  2 Sc 2.60
Mn  0.5000  0.0000  0.5000  2 Sc 2.60

Properties
As for the uncorrected energy: -4.458 eV/atom. As for the formation energy: 1.030 eV per atom. Its space group is P4/mmm, No. 123.

=====

Entry 4:
This record from the Alexandria database describes a relaxed CsLiMnSi2 crystal. The functional is PBE.

a = 4.8774 Å, b = 4.8774 Å, c = 5.1022 Å
α = 90.00°, β = 90.00°, γ = 90.00°
Closest atoms and distances in Å follow each position.
Fractional positions:
Cs  0.0000  0.0000  0.0000  4 Mn 3.45, 8 Si 3.53
Li  0.5000  0.5000  0.5000  4 Si 2.44, 2 Mn 2.55
Mn  0.5000  0.5000  0.0000  2 Li 2.55
Si  0.0000  0.5000  0.5000  2 Li 2.44
Si  0.5000  0.0000  0.5000  2 Li 2.44

Properties
As for the uncorrected energy: -3.651 eV/atom. For the raw formation energy, the calculation gives 0.906 eV per atom. Its space group is P4/mmm, No. 123.

=====

Entry 5:
This record from the Alexandria database describes a relaxed Cs3LiMo crystal. The functional is PBE.

a = 7.3008 Å, b = 7.3008 Å, c = 7.3008 Å
α = 90.00°, β = 90.00°, γ = 90.00°
Closest atoms and distances in Å follow each position.
Fractional positions:
Cs  0.0000  0.0000  0.5000  2 Mo 3.65
Cs  0.0000  0.5000  0.0000  2 Mo 3.65
Cs  0.5000  0.0000  0.0000  2 Mo 3.65
Li  0.5000  0.5000  0.5000  12 Cs 5.16
Mo  0.0000  0.0000  0.0000  6 Cs 3.65

Properties
As for the uncorrected energy: -1.923 eV/atom. As for the formation energy: 1.138 eV per atom. Its space group is Pm-3m, No. 221.

=====

Entry 6:
This record from the Alexandria database describes a relaxed CsLi4Mo2 crystal. The functional is PBE.

a = 5.4950 Å, b = 5.4950 Å, c = 14.7044 Å
α = 90.00°, β = 90.00°, γ = 90.00°
Closest atoms and distances in Å follow each position.
Fractional positions:
Cs  0.0000  0.0000  0.0000  4 Li 2.75
Cs  0.5000  0.5000  0.5000  4 Li 2.75
Li  0.0000  0.0000  0.2344  1 Mo 2.88
Li  0.0000  0.0000  0.7656  1 Mo 2.88
Li  0.0000  0.5000  0.0000  2 Cs 2.75, 4 Mo 2.93
Li  0.0000  0.5000  0.5000  2 Cs 2.75, 4 Mo 2.93
Li  0.5000  0.0000  0.0000  2 Cs 2.75, 4 Mo 2.93
Li  0.5000  0.0000  0.5000  2 Cs 2.75, 4 Mo 2.93
Li  0.5000  0.5000  0.2656  1 Mo 2.88
Li  0.5000  0.5000  0.7344  1 Mo 2.88
Mo  0.0000  0.0000  0.4300  1 Mo 2.06
Mo  0.0000  0.0000  0.5700  1 Mo 2.06
Mo  0.5000  0.5000  0.0700  1 Mo 2.06
Mo  0.5000  0.5000  0.9300  1 Mo 2.06

Properties
As for the uncorrected energy: -3.165 eV/atom. As for the formation energy: 1.145 eV per atom. Its space group is I4/mmm, No. 139.

=====

Repeat the third record exactly.
This record from the Alexandria database describes a relaxed CsLiScMn2 crystal. The functional is PBE.

a = 5.2052 Å, b = 5.2052 Å, c = 5.8890 Å
α = 90.00°, β = 90.00°, γ = 90.00°
Closest atoms and distances in Å follow each position.
Fractional positions:
Cs  0.0000  0.0000  0.0000  4 Li 3.68, 8 Mn 3.93
Li  0.5000  0.5000  0.0000  2 Sc 2.94
Sc  0.5000  0.5000  0.5000  4 Mn 2.60
Mn  0.0000  0.5000  0.5000  2 Sc 2.60
Mn  0.5000  0.0000  0.5000  2 Sc 2.60

Properties
As for the uncorrected energy: -4.458 eV/atom. As for the formation energy: 1.030 eV per atom. Its space group is P4/mmm, No. 123.

=====

- uncorrected energy of number 4 (CsLiMnSi2)?
  -3.651 eV/atom

=====

- Which formula does entry 3 have?
  CsLiScMn2